CrInO2: optimized geometry, PBE with a Hubbard U.

Properties
total magnetization: 6.06 μB/cell
calculated total energy: -6.408 eV/atom
V: 126.66 Å³/cell
DOS(E_F): 0.109 states/eV per atom

a = 3.841 Å, b = 7.257 Å, c = 5.484 Å
α = 116.83°, β = 110.56°, γ = 74.56°
Atoms (fractional coordinates):
In 0.435 0.595 0.196
Cr 0.197 0.165 0.289
In 0.659 0.796 0.844
O 0.073 0.993 0.869
Cr 0.897 0.227 0.752
O 0.741 0.111 0.322
O 0.353 0.281 0.718
O 0.021 0.399 0.171